[1]
Material: Fe2TeAs3
Method: DFT, PBE
State: relaxed

Properties
V   100.6 Å³/cell
VASP energy   -34.84 eV per cell
Space group   Pm
Total moment   1.00 μB/cell

Cell: 5.3188 3.1132 6.0761 Å, 90.00 90.58 90.00°
With the nearest neighbours (Å) after each atom.
Fractional positions:
1 Fe 0.0000 0.0000 0.0000  5 As 2.31-2.43, 1 Te 2.48
2 Fe 0.4833 0.5000 0.5136  4 As 2.36-2.42, 2 Te 2.51
3 Te 0.8148 0.0000 0.3723  3 Fe 2.48-2.51, 1 As 2.69
4 As 0.1999 0.0000 0.6635  3 Fe 2.31-2.36
5 As 0.3111 0.5000 0.1434  3 Fe 2.42-2.43, 1 As 2.58
6 As 0.6801 0.5000 0.8717  3 Fe 2.40-2.43, 1 As 2.58

***

[2]
Material: UTlIr
Method: DFT, PBE
State: relaxed

Properties
V   78.1 Å³/cell
VASP energy   -20.47 eV per cell
Space group   F-43m
Total moment   2.00 μB/cell

Cell: 4.7970 4.7970 4.7970 Å, 60.00 60.00 60.00°
With the nearest neighbours (Å) after each atom.
Fractional positions:
1 U 0.0000 0.0000 0.0000  4 Tl 2.94, 4 Ir 2.94
2 Tl 0.2500 0.2500 0.2500  4 U 2.94
3 Ir 0.7500 0.7500 0.7500  4 U 2.94

***

[3]
Material: LiTbInCu
Method: DFT, PBE
State: relaxed

Properties
V   73.5 Å³/cell
VASP energy   -14.45 eV per cell
Space group   F-43m
Total moment   0.00 μB/cell

Cell: 4.7019 4.7019 4.7019 Å, 60.00 60.00 60.00°
With the nearest neighbours (Å) after each atom.
Fractional positions:
1 Li 0.0000 0.0000 0.0000  4 In 2.88, 4 Tb 2.88
2 Tb 0.2500 0.2500 0.2500  4 Li 2.88, 4 Cu 2.88
3 In 0.7500 0.7500 0.7500  4 Li 2.88, 4 Cu 2.88
4 Cu 0.5000 0.5000 0.5000  4 Tb 2.88, 4 In 2.88

***

[4]
Material: HgIr15
Method: DFT, PBE
State: relaxed

Properties
V   665.0 Å³/cell
VASP energy   -262.01 eV per cell
Space group   P2_1/m
ΔH_f (0 K)   132 meV/atom
Offset from the most stable computed form   5 meV per atom
Total moment   0.00 μB/cell

Cell: 5.4597 2.7388 44.4752 Å, 90.00 90.00 90.00°
With the nearest neighbours (Å) after each atom.
Fractional positions:
1 Hg 0.1250 0.2500 0.1561  2 Hg 2.74, 2 Ir 2.88
2 Hg 0.8750 0.7500 0.8439  2 Hg 2.74, 2 Ir 2.88
3 Ir 0.1205 0.2500 0.7831  10 Ir 2.64-2.78
4 Ir 0.1251 0.2500 0.2602  12 Ir 2.72-2.74
5 Ir 0.1250 0.2500 0.3473  12 Ir 2.73-2.74
6 Ir 0.1249 0.2500 0.4346  12 Ir 2.73-2.74
7 Ir 0.1250 0.2500 0.5218  12 Ir 2.73-2.74
8 Ir 0.1250 0.2500 0.6090  12 Ir 2.73-2.74
9 Ir 0.1265 0.2500 0.6963  12 Ir 2.71-2.75
10 Ir 0.3705 0.7500 0.2169  10 Ir 2.64-2.78
11 Ir 0.3750 0.7500 0.3910  12 Ir 2.73-2.74
12 Ir 0.3750 0.7500 0.4782  12 Ir 2.73-2.74
13 Ir 0.3749 0.7500 0.5654  12 Ir 2.73-2.74
14 Ir 0.3749 0.7500 0.6524  12 Ir 2.73-2.74
15 Ir 0.3750 0.7500 0.7397  12 Ir 2.73-2.75
16 Ir 0.3750 0.7500 0.8230  6 Ir 2.64-2.74, 2 Hg 2.88
17 Ir 0.3765 0.7500 0.3037  12 Ir 2.71-2.75
18 Ir 0.6235 0.2500 0.6963  12 Ir 2.71-2.75
19 Ir 0.6250 0.2500 0.1770  6 Ir 2.64-2.74, 2 Hg 2.88
20 Ir 0.6250 0.2500 0.2603  12 Ir 2.73-2.75
21 Ir 0.6251 0.2500 0.3476  12 Ir 2.73-2.74
22 Ir 0.6251 0.2500 0.4346  12 Ir 2.73-2.74
23 Ir 0.6250 0.2500 0.5218  12 Ir 2.73-2.74
24 Ir 0.6250 0.2500 0.6090  12 Ir 2.73-2.74
25 Ir 0.6295 0.2500 0.7831  10 Ir 2.64-2.78
26 Ir 0.8735 0.7500 0.3037  12 Ir 2.71-2.75
27 Ir 0.8750 0.7500 0.3910  12 Ir 2.73-2.74
28 Ir 0.8750 0.7500 0.4782  12 Ir 2.73-2.74
29 Ir 0.8751 0.7500 0.5654  12 Ir 2.73-2.74
30 Ir 0.8750 0.7500 0.6527  12 Ir 2.73-2.74
31 Ir 0.8749 0.7500 0.7398  12 Ir 2.72-2.74
32 Ir 0.8795 0.7500 0.2169  10 Ir 2.64-2.78

***

[5]
Material: Hf2NiC
Method: DFT, PBE
State: relaxed

Properties
V   119.1 Å³/cell
VASP energy   -73.77 eV per cell
Space group   P6_3/mmc
Total moment   0.00 μB/cell

Cell: 3.2565 3.2565 12.9735 Å, 90.00 90.00 120.00°
With the nearest neighbours (Å) after each atom.
Fractional positions:
1 Hf 0.3333 0.6667 0.1016  3 C 2.30
2 Hf 0.3333 0.6667 0.3984  3 C 2.30
3 Hf 0.6667 0.3333 0.6016  3 C 2.30
4 Hf 0.6667 0.3333 0.8984  3 C 2.30
5 Ni 0.3333 0.6667 0.7500  6 Hf 2.69
6 Ni 0.6667 0.3333 0.2500  6 Hf 2.69
7 C 0.0000 0.0000 0.0000  6 Hf 2.30
8 C 0.0000 0.0000 0.5000  6 Hf 2.30

***

[6]
Material: CoMoPdPb
Method: DFT, PBE
State: relaxed

Properties
V   65.8 Å³/cell
VASP energy   -24.95 eV per cell
Space group   F-43m
Offset from the most stable computed form   0 meV per atom
Total moment   0.45 μB/cell

Cell: 4.5321 4.5321 4.5321 Å, 60.00 60.00 60.00°
With the nearest neighbours (Å) after each atom.
Fractional positions:
1 Co 0.0000 0.0000 0.0000  4 Pb 2.78, 4 Mo 2.78
2 Mo 0.2500 0.2500 0.2500  4 Co 2.78, 4 Pd 2.78
3 Pd 0.5000 0.5000 0.5000  4 Pb 2.78, 4 Mo 2.78
4 Pb 0.7500 0.7500 0.7500  4 Pd 2.78, 4 Co 2.78

***

[7]
Material: IrW
Method: DFT, PBE
State: relaxed

Properties
V   30.4 Å³/cell
VASP energy   -22.16 eV per cell
Space group   P-6m2
ΔH_f (0 K)   -172 meV/atom
Offset from the most stable computed form   130 meV per atom
Total moment   0.00 μB/cell

Cell: 2.7963 2.7963 4.4911 Å, 90.00 90.00 120.00°
With the nearest neighbours (Å) after each atom.
Fractional positions:
1 Ir 0.0000 0.0000 0.0000  6 W 2.77, 6 Ir 2.80
2 W 0.6667 0.3333 0.5000  6 Ir 2.77, 6 W 2.80

***

[8]
Material: CdFeW4C2
Method: DFT, PBE
State: relaxed

Properties
V   109.7 Å³/cell
VASP energy   -77.87 eV per cell
Space group   P-6m2
Total moment   1.52 μB/cell

Cell: 3.0338 3.0338 13.7567 Å, 90.00 90.00 120.00°
With the nearest neighbours (Å) after each atom.
Fractional positions:
1 Cd 0.0000 0.0000 0.0000  6 Cd 3.03, 6 W 3.05
2 Fe 0.3333 0.6667 0.5000  6 W 2.66
3 W 0.0000 0.0000 0.3547  3 C 2.13
4 W 0.0000 0.0000 0.6453  3 C 2.13
5 W 0.3333 0.6667 0.1818  3 C 2.10
6 W 0.3333 0.6667 0.8182  3 C 2.10
7 C 0.6667 0.3333 0.2664  6 W 2.10-2.13
8 C 0.6667 0.3333 0.7336  6 W 2.10-2.13